No. 1
# TlSi2Mo

TlSi2Mo at its PBEsol-relaxed geometry (SCAN, the Alexandria database).

Output
Raw formation energy: 0.893 eV/atom
E above lowest polymorph: 235 meV per atom

Structure (extended XYZ):
```
4
Lattice="3.336 0.000 0.000 0.000 4.420 0.000 0.000 0.000 4.537" Properties=species:S:1:pos:R:3 pbc="T T T"
Tl 0.000 0.000 0.000
Si 0.000 2.210 2.269
Si 1.668 2.210 0.000
Mo 1.668 0.000 2.269
```

No. 2
# LiIr2Au

LiIr2Au at its PBEsol-relaxed geometry (SCAN, the Alexandria database).

Output
E_form: -0.026 eV per atom

Structure (extended XYZ):
```
4
Lattice="2.697 0.000 0.000 0.000 4.562 0.000 0.000 0.000 4.708" Properties=species:S:1:pos:R:3 pbc="T T T"
Li 0.000 0.000 0.000
Ir 0.000 2.281 2.354
Ir 1.349 0.000 2.354
Au 1.349 2.281 0.000
```

No. 3
# BaCo2Sb

BaCo2Sb at its PBEsol-relaxed geometry (SCAN, the Alexandria database).

Output
Raw formation energy: 0.310 eV/atom

Structure (extended XYZ):
```
4
Lattice="-1.993 3.049 3.985 1.993 -3.049 3.985 1.993 3.049 -3.985" Properties=species:S:1:pos:R:3 pbc="T T T"
Ba 0.000 0.000 0.000
Co 0.000 0.000 4.154
Co 0.000 3.049 1.216
Sb 1.993 0.000 2.613
```